This record from Alexandria via LeMat-Bulk describes crystalline TbPd3Au4 at its relaxed geometry. The functional is PBE.

Cell: 8.8960 8.8960 8.8960 Å, 153.56 152.77 38.32°
With the nearest neighbours (Å) after each atom.
Element x y z (fractional)
Tb (0.0000, 0.0000, 0.0000)  8 Pd 2.92-2.93, 4 Au 2.98
Pd (0.1259, 0.6259, 0.5000)  8 Au 2.92-2.95, 2 Tb 2.93, 2 Pd 2.98
Pd (0.5000, 0.5000, 0.0000)  4 Tb 2.92, 4 Au 2.94, 4 Pd 2.98
Pd (0.8741, 0.3741, 0.5000)  8 Au 2.92-2.95, 2 Tb 2.93, 2 Pd 2.98
Au (0.2532, 0.2532, 0.0000)  8 Au 2.87-2.99, 4 Pd 2.92-2.95
Au (0.3739, 0.8739, 0.5000)  4 Au 2.87-2.99, 6 Pd 2.92-2.94, 2 Tb 2.98
Au (0.6261, 0.1261, 0.5000)  4 Au 2.87-2.99, 6 Pd 2.92-2.94, 2 Tb 2.98
Au (0.7468, 0.7468, 0.0000)  8 Au 2.87-2.99, 4 Pd 2.92-2.95

Properties
The electronic total energy comes out at -4.63 eV per atom. Its space group is Immm, No. 71. As for the energy above the most stable polymorph in this dataset: 0.0000 eV/atom.